# PBE with a Hubbard U CoAgO3, relaxed
# Total moment   0.03 μB per formula unit
# Electronic total energy   -0.1750 Ha/atom
data_CoAgO3
_chemical_formula_sum 'Co4 Ag4 O12'
_symmetry_space_group_name_H-M 'P 1'
_symmetry_Int_Tables_number 1
_cell_length_a 5.302
_cell_length_b 7.348
_cell_length_c 5.208
_cell_angle_alpha 90.00
_cell_angle_beta 90.00
_cell_angle_gamma 90.00
loop_
_symmetry_equiv_pos_as_xyz
'x,y,z'
loop_
_atom_site_label
_atom_site_fract_x
_atom_site_fract_y
_atom_site_fract_z
_atom_site_occupancy
Co1 0.000 0.000 0.000 1
Co2 0.000 0.500 0.000 1
Co3 0.500 0.000 0.500 1
Co4 0.500 0.500 0.500 1
Ag1 0.062 0.250 0.486 1
Ag2 0.438 0.750 0.986 1
Ag3 0.562 0.250 0.014 1
Ag4 0.938 0.750 0.514 1
O1 0.043 0.750 0.112 1
O2 0.195 0.555 0.689 1
O3 0.195 0.945 0.689 1
O4 0.305 0.055 0.189 1
O5 0.305 0.445 0.189 1
O6 0.457 0.250 0.612 1
O7 0.543 0.750 0.388 1
O8 0.695 0.555 0.811 1
O9 0.695 0.945 0.811 1
O10 0.805 0.055 0.311 1
O11 0.805 0.445 0.311 1
O12 0.957 0.250 0.888 1



# PBE with a Hubbard U CoAgO2, relaxed
# Total moment   4.00 μB per formula unit
# Electronic total energy   -0.1865 Ha/atom
data_CoAgO2
_chemical_formula_sum 'Co4 Ag4 O8'
_symmetry_space_group_name_H-M 'P 1'
_symmetry_Int_Tables_number 1
_cell_length_a 3.013
_cell_length_b 5.167
_cell_length_c 12.461
_cell_angle_alpha 90.00
_cell_angle_beta 90.00
_cell_angle_gamma 90.00
loop_
_symmetry_equiv_pos_as_xyz
'x,y,z'
loop_
_atom_site_label
_atom_site_fract_x
_atom_site_fract_y
_atom_site_fract_z
_atom_site_occupancy
Co1 0.000 0.000 0.000 1
Co2 0.000 0.000 0.500 1
Co3 0.500 0.500 0.000 1
Co4 0.500 0.500 0.500 1
Ag1 0.000 0.331 0.250 1
Ag2 0.000 0.669 0.750 1
Ag3 0.500 0.169 0.750 1
Ag4 0.500 0.831 0.250 1
O1 0.000 0.330 0.082 1
O2 0.000 0.330 0.418 1
O3 0.000 0.670 0.582 1
O4 0.000 0.670 0.918 1
O5 0.500 0.170 0.582 1
O6 0.500 0.170 0.918 1
O7 0.500 0.830 0.082 1
O8 0.500 0.830 0.418 1



# PBE with a Hubbard U CoAgO2, relaxed
# Total moment   1.34 μB per formula unit
# Electronic total energy   -0.1676 Ha/atom
data_CoAgO2
_chemical_formula_sum 'Co2 Ag2 O4'
_symmetry_space_group_name_H-M 'P 1'
_symmetry_Int_Tables_number 1
_cell_length_a 3.216
_cell_length_b 3.216
_cell_length_c 12.022
_cell_angle_alpha 90.00
_cell_angle_beta 90.00
_cell_angle_gamma 120.00
loop_
_symmetry_equiv_pos_as_xyz
'x,y,z'
loop_
_atom_site_label
_atom_site_fract_x
_atom_site_fract_y
_atom_site_fract_z
_atom_site_occupancy
Co1 0.333 0.667 0.250 1
Co2 0.667 0.333 0.750 1
Ag1 0.000 0.000 0.000 1
Ag2 0.000 0.000 0.500 1
O1 0.333 0.667 0.105 1
O2 0.333 0.667 0.395 1
O3 0.667 0.333 0.605 1
O4 0.667 0.333 0.895 1



# PBE with a Hubbard U CoAgO3, relaxed
# Total moment   2.00 μB per formula unit
# Electronic total energy   -0.1740 Ha/atom
data_CoAgO3
_chemical_formula_sum 'Co2 Ag2 O6'
_symmetry_space_group_name_H-M 'P 1'
_symmetry_Int_Tables_number 1
_cell_length_a 5.136
_cell_length_b 5.136
_cell_length_c 5.136
_cell_angle_alpha 62.16
_cell_angle_beta 62.16
_cell_angle_gamma 62.16
loop_
_symmetry_equiv_pos_as_xyz
'x,y,z'
loop_
_atom_site_label
_atom_site_fract_x
_atom_site_fract_y
_atom_site_fract_z
_atom_site_occupancy
Co1 0.000 0.000 0.000 1
Co2 0.500 0.500 0.500 1
Ag1 0.250 0.250 0.250 1
Ag2 0.750 0.750 0.750 1
O1 0.156 0.750 0.344 1
O2 0.250 0.656 0.844 1
O3 0.344 0.156 0.750 1
O4 0.656 0.844 0.250 1
O5 0.750 0.344 0.156 1
O6 0.844 0.250 0.656 1



Question: Look up the total moment of the third one.
Answer: 1.34 μB per formula unit